{"formula": "Te2WSe", "functional": "GGA-PBE", "state": "optimized geometry", "total_magnetization_mub_per_fu": 0.001, "dos_ef_per_ev_fu": 3.38, "volume_a3_per_atom": 21.04, "raw_formation_energy_mev_per_atom": 760, "space_group": "No. 139", "e_tot_ev_per_cell": -19.68, "cell": [[5.0930, 0.0087, 0.0000], [0.8352, 5.0240, 0.0000], [-2.9641, -2.5164, 3.2895]], "species": ["Se", "Te", "Te", "W"], "frac_coords": [[0.7500, 0.2500, 0.5000], [0.5000, 0.5000, 0.0000], [0.0000, 0.0000, 0.0000], [0.2500, 0.7500, 0.5000]]}